(1)
# PBE-GGA PaNb3Tl4O12, optimized geometry
# E ... -151.5 eV/f.u.
# ρ ... 8.6 g/cm³
# Formation energy from raw total energies ... -2.14 eV per atom
# Crystal system ... cubic
data_PaNb3Tl4O12
_chemical_formula_sum 'Pa2 Nb6 Tl8 O24'
_space_group_name_H-M_alt 'I m -3 m'
_space_group_IT_number 229
_space_group_name_Hall '-I 4 2 3'
_cell_length_a 8.3668
_cell_length_b 8.3668
_cell_length_c 8.3668
_cell_angle_alpha 90.00
_cell_angle_beta 90.00
_cell_angle_gamma 90.00
loop_
_atom_site_label
_atom_site_type_symbol
_atom_site_fract_x
_atom_site_fract_y
_atom_site_fract_z
Pa1 Pa 0.0000 0.0000 0.0000
Nb1 Nb 0.0000 0.0000 0.5000
Tl1 Tl 0.2500 0.2500 0.2500
O1 O 0.0000 0.0000 0.2613
O2 O 0.0000 0.2500 0.5000



(2)
# PBE-GGA Cs2AlMoCl6, optimized geometry
# E ... -39.9 eV/f.u.
# ρ ... 3.3 g/cm³
# Formation energy from raw total energies ... -1.26 eV per atom
# Crystal system ... cubic
data_Cs2AlMoCl6
_chemical_formula_sum 'Cs8 Al4 Mo4 Cl24'
_space_group_name_H-M_alt 'F m -3 m'
_space_group_IT_number 225
_space_group_name_Hall '-F 4 2 3'
_cell_length_a 10.7007
_cell_length_b 10.7007
_cell_length_c 10.7007
_cell_angle_alpha 90.00
_cell_angle_beta 90.00
_cell_angle_gamma 90.00
loop_
_atom_site_label
_atom_site_type_symbol
_atom_site_fract_x
_atom_site_fract_y
_atom_site_fract_z
Cs1 Cs 0.2500 0.2500 0.2500
Al1 Al 0.0000 0.0000 0.0000
Mo1 Mo 0.0000 0.0000 0.5000
Cl1 Cl 0.0000 0.0000 0.2675



(3)
# PBE-GGA Tb3Mn2C6, optimized geometry
# Energy of formation from the pure elements ... -0.2762 eV/atom
# E ... -90.6 eV/f.u.
# ρ ... 7.7 g/cm³
# Crystal system ... hexagonal
data_Tb3Mn2C6
_chemical_formula_sum 'Tb6 Mn4 C12'
_space_group_name_H-M_alt 'P 63/m'
_space_group_IT_number 176
_space_group_name_Hall '-P 6c'
_cell_length_a 8.1205
_cell_length_b 8.1205
_cell_length_c 4.9953
_cell_angle_alpha 90.00
_cell_angle_beta 90.00
_cell_angle_gamma 120.00
loop_
_atom_site_label
_atom_site_type_symbol
_atom_site_fract_x
_atom_site_fract_y
_atom_site_fract_z
Tb1 Tb 0.0651 0.3795 0.2500
Mn1 Mn 0.0000 0.0000 0.0000
Mn2 Mn 0.3333 0.6667 0.7500
C1 C 0.0362 0.2270 0.7500
C2 C 0.1360 0.4213 0.7500



(4)
# PBE-GGA HgPdI4, optimized geometry
# E ... -12.8 eV/f.u.
# Polymorph energy (0 for the lowest one) ... 21 meV/atom
# ρ ... 5.3 g/cm³
# Formation energy from raw total energies ... -0.18 eV per atom
# Crystal system ... monoclinic
data_HgPdI4
_chemical_formula_sum 'Hg2 Pd2 I8'
_space_group_name_H-M_alt 'C 1 2/m 1'
_space_group_IT_number 12
_space_group_name_Hall '-C 2y'
_cell_length_a 15.7101
_cell_length_b 4.0386
_cell_length_c 8.8062
_cell_angle_alpha 90.00
_cell_angle_beta 113.96
_cell_angle_gamma 90.00
loop_
_atom_site_label
_atom_site_type_symbol
_atom_site_fract_x
_atom_site_fract_y
_atom_site_fract_z
Hg1 Hg 0.0000 0.0000 0.0000
Pd1 Pd 0.0000 0.5000 0.5000
I1 I 0.0946 0.0000 0.4474
I2 I 0.1399 0.5000 0.0318



(5)
# PBE-GGA Li2TbAlGe2, optimized geometry
# Energy of formation from the pure elements ... -0.5224 eV/atom
# E ... -24.6 eV/f.u.
# ρ ... 4.9 g/cm³
# Crystal system ... orthorhombic
data_Li2TbAlGe2
_chemical_formula_sum 'Li4 Tb2 Al2 Ge4'
_space_group_name_H-M_alt 'P m c 21'
_space_group_IT_number 26
_space_group_name_Hall 'P 2c -2'
_cell_length_a 4.1689
_cell_length_b 7.9449
_cell_length_c 7.1072
_cell_angle_alpha 90.00
_cell_angle_beta 90.00
_cell_angle_gamma 90.00
loop_
_atom_site_label
_atom_site_type_symbol
_atom_site_fract_x
_atom_site_fract_y
_atom_site_fract_z
Li1 Li 0.0000 0.0760 0.0000
Li2 Li 0.5000 0.1705 0.3260
Tb1 Tb 0.5000 0.4302 0.9507
Al1 Al 0.0000 0.3059 0.6127
Ge1 Ge 0.0000 0.3710 0.2402
Ge2 Ge 0.5000 0.1405 0.7011



(6)
# PBE-GGA PaI6Br, optimized geometry
# E ... -25.1 eV/f.u.
# ρ ... 4.2 g/cm³
# Formation energy from raw total energies ... -0.57 eV per atom
# Crystal system ... monoclinic
data_PaI6Br
_chemical_formula_sum 'Pa2 I12 Br2'
_space_group_name_H-M_alt 'C 1 2/m 1'
_space_group_IT_number 12
_space_group_name_Hall '-C 2y'
_cell_length_a 8.7136
_cell_length_b 13.0408
_cell_length_c 8.6713
_cell_angle_alpha 90.00
_cell_angle_beta 119.79
_cell_angle_gamma 90.00
loop_
_atom_site_label
_atom_site_type_symbol
_atom_site_fract_x
_atom_site_fract_y
_atom_site_fract_z
Pa1 Pa 0.0000 0.0000 0.0000
I1 I 0.0051 0.1704 0.2288
I2 I 0.1149 0.5000 0.8141
Br1 Br 0.0000 0.0000 0.5000



(7)
# PBE-GGA CdCo2Tc, optimized geometry
# Energy of formation from the pure elements ... 0.3474 eV/atom
# E ... -24.1 eV/f.u.
# ρ ... 9.6 g/cm³
# Crystal system ... trigonal
data_CdCo2Tc
_chemical_formula_sum 'Cd3 Co6 Tc3'
_space_group_name_H-M_alt 'R 3 m'
_space_group_IT_number 160
_space_group_name_Hall 'R 3 -2"'
_cell_length_a 2.7307
_cell_length_b 2.7307
_cell_length_c 26.3909
_cell_angle_alpha 90.00
_cell_angle_beta 90.00
_cell_angle_gamma 120.00
loop_
_atom_site_label
_atom_site_type_symbol
_atom_site_fract_x
_atom_site_fract_y
_atom_site_fract_z
Cd1 Cd 0.0000 0.0000 0.0000
Co1 Co 0.0000 0.0000 0.2438
Co2 Co 0.0000 0.0000 0.5060
Tc1 Tc 0.0000 0.0000 0.7633



(8)
# PBE-GGA Pr8Nd4Dy3, optimized geometry
# Energy of formation from the pure elements ... 0.3030 eV/atom
# E ... -66.6 eV/f.u.
# Polymorph energy (0 for the lowest one) ... 183 meV/atom
# ρ ... 6.8 g/cm³
# Crystal system ... monoclinic
data_Pr8Nd4Dy3
_chemical_formula_sum 'Pr16 Nd8 Dy6'
_space_group_name_H-M_alt 'C 1 2/m 1'
_space_group_IT_number 12
_space_group_name_Hall '-C 2y'
_cell_length_a 14.1852
_cell_length_b 12.4051
_cell_length_c 6.9398
_cell_angle_alpha 90.00
_cell_angle_beta 119.10
_cell_angle_gamma 90.00
loop_
_atom_site_label
_atom_site_type_symbol
_atom_site_fract_x
_atom_site_fract_y
_atom_site_fract_z
Pr1 Pr 0.0000 0.2027 0.0000
Pr2 Pr 0.0000 0.2519 0.5000
Pr3 Pr 0.2015 0.0000 0.2013
Pr4 Pr 0.2479 0.5000 0.2464
Nd1 Nd 0.0000 0.5000 0.0000
Nd2 Nd 0.0000 0.5000 0.5000
Nd3 Nd 0.2500 0.2500 0.5000
Dy1 Dy 0.0000 0.0000 0.5000
Dy2 Dy 0.2500 0.2500 0.0000



(9)
# PBE-GGA Nd4SmY3, optimized geometry
# Energy of formation from the pure elements ... 0.1656 eV/atom
# E ... -41.9 eV/f.u.
# Polymorph energy (0 for the lowest one) ... 142 meV/atom
# ρ ... 6.0 g/cm³
# Crystal system ... monoclinic
data_Nd4SmY3
_chemical_formula_sum 'Nd8 Sm2 Y6'
_space_group_name_H-M_alt 'C 1 2/m 1'
_space_group_IT_number 12
_space_group_name_Hall '-C 2y'
_cell_length_a 23.8907
_cell_length_b 3.4916
_cell_length_c 6.8895
_cell_angle_alpha 90.00
_cell_angle_beta 106.30
_cell_angle_gamma 90.00
loop_
_atom_site_label
_atom_site_type_symbol
_atom_site_fract_x
_atom_site_fract_y
_atom_site_fract_z
Nd1 Nd 0.1240 0.0000 0.3692
Nd2 Nd 0.2405 0.5000 0.2376
Sm1 Sm 0.0000 0.5000 0.0000
Y1 Y 0.0000 0.0000 0.5000
Y2 Y 0.1238 0.0000 0.8805



(10)
# PBE-GGA Dy4MnPd15, optimized geometry
# Energy of formation from the pure elements ... -0.7395 eV/atom
# E ... -120.3 eV/f.u.
# ρ ... 11.2 g/cm³
# Crystal system ... tetragonal
data_Dy4MnPd15
_chemical_formula_sum 'Dy4 Mn1 Pd15'
_space_group_name_H-M_alt 'P 4/m m m'
_space_group_IT_number 123
_space_group_name_Hall '-P 4 2'
_cell_length_a 4.0858
_cell_length_b 4.0858
_cell_length_c 20.3808
_cell_angle_alpha 90.00
_cell_angle_beta 90.00
_cell_angle_gamma 90.00
loop_
_atom_site_label
_atom_site_type_symbol
_atom_site_fract_x
_atom_site_fract_y
_atom_site_fract_z
Dy1 Dy 0.0000 0.0000 0.1019
Dy2 Dy 0.0000 0.0000 0.3061
Mn1 Mn 0.0000 0.0000 0.5000
Pd1 Pd 0.0000 0.5000 0.0000
Pd2 Pd 0.0000 0.5000 0.2044
Pd3 Pd 0.0000 0.5000 0.4088
Pd4 Pd 0.5000 0.5000 0.1026
Pd5 Pd 0.5000 0.5000 0.3066
Pd6 Pd 0.5000 0.5000 0.5000



(11)
# PBE-GGA LaBe2CoN, optimized geometry
# E ... -26.4 eV/f.u.
# Polymorph energy (0 for the lowest one) ... 0 meV/atom
# ρ ... 5.6 g/cm³
# Formation energy from raw total energies ... 0.28 eV per atom
# Crystal system ... tetragonal
data_LaBe2CoN
_chemical_formula_sum 'La1 Be2 Co1 N1'
_space_group_name_H-M_alt 'P 4/m m m'
_space_group_IT_number 123
_space_group_name_Hall '-P 4 2'
_cell_length_a 3.5690
_cell_length_b 3.5690
_cell_length_c 5.3268
_cell_angle_alpha 90.00
_cell_angle_beta 90.00
_cell_angle_gamma 90.00
loop_
_atom_site_label
_atom_site_type_symbol
_atom_site_fract_x
_atom_site_fract_y
_atom_site_fract_z
La1 La 0.0000 0.0000 0.0000
Be1 Be 0.0000 0.5000 0.5000
Co1 Co 0.5000 0.5000 0.0000
N1 N 0.5000 0.5000 0.5000